Here is an optimized crystal structure of MgAsAu2 from the Alexandria database. Energies are from PBE.

Properties
Size of the total moment   0.00 Bohr magnetons per cell
Symmetry   No. 12
DFT total energy   -3.35 eV/atom
Calculated formation energy   -0.620 eV/f.u.

a b c (Å): 5.816 5.816 3.186
angles (deg): 105.74 105.74 122.02
Atoms (fractional coordinates):
Mg  0.000  0.000  0.000
As  0.500  0.500  0.000
Au  0.000  0.500  0.500
Au  0.500  0.000  0.500